No. 1
Below is crystalline Hf2ScCd at its relaxed geometry, with properties calculated at the PBE level.

Results
Space group: R3m (160)
E_form in meV/atom: 32
Volume in Å³/cell: 90.5
Crystal system: trigonal
Total moment in μB per formula unit: 0.00

Geometry as extended XYZ:
```
4
Lattice="3.2001 0.0000 0.0000 1.6001 2.7714 0.0000 1.6001 0.9238 10.2052" Properties=species:S:1:pos:R:3 pbc="T T T"
Hf 1.6001 0.9238 7.6233
Hf 1.6000 0.9238 2.5763
Sc 3.2001 1.8476 5.1082
Cd 3.2001 1.8476 0.0001
```

No. 2
Below is crystalline HfSc5Cd at its relaxed geometry, with properties calculated at the PBE level.

Results
Space group: C2/c (15)
E_form in meV/atom: 132
Volume in Å³/cell: 334.0
Crystal system: monoclinic
Total moment in μB per formula unit: 0.00

Geometry as extended XYZ:
```
14
Lattice="7.9542 2.0810 1.5211 4.4970 6.8830 1.5211 6.6381 4.7790 8.9802" Properties=species:S:1:pos:R:3 pbc="T T T"
Hf 0.0000 0.0000 0.0000
Hf 3.3190 2.3895 4.4901
Sc 9.9355 7.1944 4.3161
Sc 7.1692 5.1402 6.0511
Sc 13.2939 9.5293 8.8062
Sc 6.8768 7.0774 3.7662
Sc 15.2592 10.9645 10.4614
Sc 3.8301 2.7786 1.5610
Sc 12.2125 6.6657 8.2563
Sc 5.7954 4.2138 3.2163
Sc 11.9201 8.6028 5.9714
Sc 9.1538 6.5487 7.7064
Cd 8.7409 4.4882 3.7662
Cd 10.3484 9.2549 8.2563
```

No. 3
Below is crystalline HfSc3Cd2 at its relaxed geometry, with properties calculated at the PBE level.

Results
Space group: P4/mmm (123)
E_form in meV/atom: -187
Volume in Å³/cell: 134.8
Crystal system: tetragonal
Total moment in μB per formula unit: 0.01

Geometry as extended XYZ:
```
6
Lattice="-2.0091 1.3165 2.1965 0.0435 -2.7739 1.7024 10.0077 4.2218 6.6235" Properties=species:S:1:pos:R:3 pbc="T T T"
Hf 4.0210 1.3822 5.2612
Sc 0.0000 0.0000 0.0000
Sc 6.7069 2.8294 4.4389
Sc 3.3007 1.3924 2.1846
Cd 7.3960 2.8060 7.4948
Cd 0.6461 -0.0415 3.0275
```

total moment of number 2 (HfSc5Cd)?
0.00 μB per formula unit

Copy entry 3 word for word.
Below is crystalline HfSc3Cd2 at its relaxed geometry, with properties calculated at the PBE level.

Results
Space group: P4/mmm (123)
E_form in meV/atom: -187
Volume in Å³/cell: 134.8
Crystal system: tetragonal
Total moment in μB per formula unit: 0.01

Geometry as extended XYZ:
```
6
Lattice="-2.0091 1.3165 2.1965 0.0435 -2.7739 1.7024 10.0077 4.2218 6.6235" Properties=species:S:1:pos:R:3 pbc="T T T"
Hf 4.0210 1.3822 5.2612
Sc 0.0000 0.0000 0.0000
Sc 6.7069 2.8294 4.4389
Sc 3.3007 1.3924 2.1846
Cd 7.3960 2.8060 7.4948
Cd 0.6461 -0.0415 3.0275
```